# Sr2CuS2Cl2 (GGA-PBEsol, optimized geometry)
# - Total energy: -4.43 eV/atom
# - DOS at the Fermi energy: 4.494 states/eV per cell
# - V: 315.88 Å³/cell
# - Formation energy without anion corrections: -1458.3 meV/atom
data_Sr2CuS2Cl2
_space_group_name_H-M_alt 'I 4/m m m'
_space_group_IT_number 139
_space_group_name_Hall '-I 4 2'
_cell_length_a 4.610
_cell_length_b 4.610
_cell_length_c 14.861
_cell_angle_alpha 90.00
_cell_angle_beta 90.00
_cell_angle_gamma 90.00
loop_
_atom_site_label
_atom_site_type_symbol
_atom_site_fract_x
_atom_site_fract_y
_atom_site_fract_z
Sr1 Sr 0.000 0.000 0.147
Cu1 Cu 0.000 0.000 0.500
S1 S 0.000 0.000 0.339
Cl1 Cl 0.000 0.500 0.000